DFT (GGA-PBE) results for a geometry-optimized BeCrRh2 structure.

Structure (CIF):
```
data_BeCrRh2
_chemical_formula_sum 'Be1 Cr1 Rh2'
_cell_length_a 2.7489
_cell_length_b 2.7489
_cell_length_c 6.2714
_cell_angle_alpha 90.00
_cell_angle_beta 90.00
_cell_angle_gamma 90.00
_space_group_name_H-M_alt 'P 4/m m m'
_space_group_IT_number 123
_space_group_name_Hall '-P 4 2'
loop_
_atom_site_label
_atom_site_type_symbol
_atom_site_fract_x
_atom_site_fract_y
_atom_site_fract_z
_atom_site_occupancy
Be1 Be 0.0000 0.0000 0.0000 1
Cr1 Cr 0.0000 0.0000 0.5000 1
Rh1 Rh 0.5000 0.5000 0.2272 1
```

## Properties
Electronic total energy   -7.364 eV/atom
DFT formation energy   -34 kJ per mole of atoms
M_tot   0.00 μB per atom
Density   9.349 g/cm³
Crystal system   tetragonal